(1)
# KLiNi2 PBE relaxed
data_KLiNi2
_chemical_formula_sum 'K1 Li1 Ni2'
_cell_length_a 2.699
_cell_length_b 2.699
_cell_length_c 9.308
_cell_angle_alpha 90.00
_cell_angle_beta 90.00
_cell_angle_gamma 114.50
_symmetry_space_group_name_H-M 'P 1'
_symmetry_Int_Tables_number 1
_symmetry_space_group_name_Hall 'P 1'
loop_
_atom_site_label
_atom_site_fract_x
_atom_site_fract_y
_atom_site_fract_z
Ni1 0.000 0.000 0.966
Ni2 0.000 0.000 0.534
K1 0.500 0.500 0.250
Li1 0.500 0.500 0.750
# energy relative to the elements = 621 meV per atom
# excess energy over the best structure of this formula in the dataset = 263 meV per atom
# theoretical density = 4.40 g/cm3
# energy = -0.222 Ry per atom

---

(2)
# TiBe2Zn PBE relaxed
data_TiBe2Zn
_chemical_formula_sum 'Ti2 Be4 Zn2'
_cell_length_a 3.542
_cell_length_b 4.274
_cell_length_c 6.190
_cell_angle_alpha 90.00
_cell_angle_beta 90.00
_cell_angle_gamma 90.00
_symmetry_space_group_name_H-M 'P 1'
_symmetry_Int_Tables_number 1
_symmetry_space_group_name_Hall 'P 1'
loop_
_atom_site_label
_atom_site_fract_x
_atom_site_fract_y
_atom_site_fract_z
Ti1 0.000 0.750 0.311
Ti2 0.000 0.250 0.689
Zn1 0.500 0.250 0.354
Zn2 0.500 0.750 0.646
Be1 0.500 0.000 0.000
Be2 0.000 0.250 0.089
Be3 0.000 0.750 0.911
Be4 0.500 0.500 0.000
# energy relative to the elements = -152 meV per atom
# theoretical density = 4.65 g/cm3
# energy = -0.317 Ry per atom

---

(3)
# La2Sm8Ho3 PBE relaxed
data_La2Sm8Ho3
_chemical_formula_sum 'La2 Sm8 Ho3'
_cell_length_a 5.623
_cell_length_b 7.697
_cell_length_c 11.222
_cell_angle_alpha 110.06
_cell_angle_beta 90.02
_cell_angle_gamma 90.00
_symmetry_space_group_name_H-M 'P 1'
_symmetry_Int_Tables_number 1
_symmetry_space_group_name_Hall 'P 1'
loop_
_atom_site_label
_atom_site_fract_x
_atom_site_fract_y
_atom_site_fract_z
Ho1 0.000 0.286 0.000
Ho2 0.000 0.714 0.000
Ho3 0.500 0.000 0.000
Sm1 0.500 0.189 0.794
Sm2 0.500 0.811 0.206
Sm3 0.500 0.604 0.794
Sm4 0.500 0.396 0.206
Sm5 0.000 0.873 0.746
Sm6 0.999 0.337 0.674
Sm7 0.000 0.127 0.254
Sm8 0.001 0.663 0.326
La1 0.501 0.759 0.518
La2 0.499 0.241 0.482
# energy relative to the elements = 216 meV per atom
# theoretical density = 7.19 g/cm3
# energy = -0.331 Ry per atom

---

Which formula does entry 3 have? La2Sm8Ho3

---

Which of these has the highest energy relative to the elements? KLiNi2

---

What is the theoretical density in the first record? 4.40 g/cm3

---

What is the formula in the second record? TiBe2Zn